No. 1
# PBE Cr2SiRu, optimized geometry
data_Cr2SiRu
_symmetry_space_group_name_H-M 'P 4 m m'
_symmetry_Int_Tables_number 99
_cell_length_a 2.927
_cell_length_b 2.927
_cell_length_c 5.700
_cell_angle_alpha 90.00
_cell_angle_beta 90.00
_cell_angle_gamma 90.00
loop_
_symmetry_equiv_pos_as_xyz
'x,y,z'
'-y,x,z'
'-x,-y,z'
'y,-x,z'
'-x,y,z'
'y,x,z'
'x,-y,z'
'-y,-x,z'
loop_
_atom_site_label
_atom_site_fract_x
_atom_site_fract_y
_atom_site_fract_z
_atom_site_occupancy
Cr1 0.000 0.000 0.000 1
Cr2 0.500 0.500 0.210 1
Si1 0.500 0.500 0.747 1
Ru1 0.000 0.000 0.508 1
# ΔE_f (raw): -258 meV per atom

---

No. 2
# PBE SrRh2Au, optimized geometry
data_SrRh2Au
_symmetry_space_group_name_H-M 'P 1 m 1'
_symmetry_Int_Tables_number 6
_cell_length_a 3.009
_cell_length_b 4.347
_cell_length_c 6.258
_cell_angle_alpha 90.00
_cell_angle_beta 103.10
_cell_angle_gamma 90.00
loop_
_symmetry_equiv_pos_as_xyz
'x,y,z'
'x,-y,z'
loop_
_atom_site_label
_atom_site_fract_x
_atom_site_fract_y
_atom_site_fract_z
_atom_site_occupancy
Sr1 0.000 0.000 0.000 1
Rh1 0.306 0.500 0.655 1
Rh2 0.743 0.000 0.539 1
Au1 0.621 0.500 0.260 1
# Formation energy from the elements: 0.1 eV/f.u.

---

No. 3
# PBE CaSi3Mo, optimized geometry
data_CaSi3Mo
_symmetry_space_group_name_H-M 'P m -3 m'
_symmetry_Int_Tables_number 221
_symmetry_space_group_name_Hall '-P 4 2 3'
_cell_length_a 4.847
_cell_length_b 4.847
_cell_length_c 4.847
_cell_angle_alpha 90.00
_cell_angle_beta 90.00
_cell_angle_gamma 90.00
loop_
_atom_site_label
_atom_site_fract_x
_atom_site_fract_y
_atom_site_fract_z
_atom_site_occupancy
Ca1 0.000 0.000 0.000 1
Si1 0.000 0.000 0.500 1
Mo1 0.500 0.500 0.500 1
# ΔE_f (raw): 2183 meV per atom

---

Number 1: theoretical density 7.9 g cm⁻³. Number 2: theoretical density 10.2 g cm⁻³. Number 3: theoretical density 3.2 g cm⁻³.